Density functional theory data (PBE) for an optimized crystal structure of PrCdAs2.

Calculated values
E above lowest polymorph   0.0 meV per atom
DOS(E_F)   1.60 states/eV/cell
Calculated formation energy   -0.62 eV/atom
Magnetic moment   0.0 μB/cell

Cell lengths 4.8079, 4.8079, 3.9861 Å; angles 90.00, 90.00, 90.00 degrees
Closest atoms and distances in Å follow each position.
Space group P4/mmm (No. 123)
Asymmetric unit:
Pr 0.0000 0.0000 0.0000 [1 per cell]  8 As 3.12, 4 Cd 3.40
Cd 0.5000 0.5000 0.0000 [1 per cell]  8 As 3.12, 4 Pr 3.40
As 0.0000 0.5000 0.5000 [2 per cell]  4 Cd 3.12, 4 Pr 3.12, 4 As 3.40